Entry 1:
This record from Alexandria describes an optimized crystal structure of In2TcH. The functional is PBE-GGA.

The structure in CIF format:
```
data_In2TcH
_space_group_name_H-M_alt 'F m -3 m'
_space_group_IT_number 225
_space_group_name_Hall '-F 4 2 3'
_cell_length_a 6.543
_cell_length_b 6.543
_cell_length_c 6.543
_cell_angle_alpha 90.00
_cell_angle_beta 90.00
_cell_angle_gamma 90.00
loop_
_atom_site_label
_atom_site_fract_x
_atom_site_fract_y
_atom_site_fract_z
_atom_site_occupancy
In1 0.250 0.250 0.250 1
Tc1 0.000 0.000 0.000 1
H1 0.000 0.000 0.500 1
```

E above lowest polymorph   312 meV per atom
Fermi-level density of states   3.6 states/eV/f.u.

Entry 2:
This record from Alexandria describes an optimized crystal structure of InTcH2. The functional is PBE-GGA.

The structure in CIF format:
```
data_InTcH2
_space_group_name_H-M_alt 'R -3 m'
_space_group_IT_number 166
_space_group_name_Hall '-R 3 2"'
_cell_length_a 2.9486
_cell_length_b 2.9486
_cell_length_c 18.7318
_cell_angle_alpha 90.00
_cell_angle_beta 90.00
_cell_angle_gamma 120.00
loop_
_atom_site_label
_atom_site_fract_x
_atom_site_fract_y
_atom_site_fract_z
_atom_site_occupancy
In1 0.0000 0.0000 0.0000 1
Tc1 0.0000 0.0000 0.5000 1
H1 0.0000 0.0000 0.1236 1
```

E above lowest polymorph   0 meV per atom
Fermi-level density of states   2.1 states/eV/f.u.

Entry 3:
This record from Alexandria describes an optimized crystal structure of InTc3H. The functional is PBE-GGA.

The structure in CIF format:
```
data_InTc3H
_space_group_name_H-M_alt 'P m -3 m'
_space_group_IT_number 221
_space_group_name_Hall '-P 4 2 3'
_cell_length_a 4.037
_cell_length_b 4.037
_cell_length_c 4.037
_cell_angle_alpha 90.00
_cell_angle_beta 90.00
_cell_angle_gamma 90.00
loop_
_atom_site_label
_atom_site_fract_x
_atom_site_fract_y
_atom_site_fract_z
_atom_site_occupancy
In1 0.000 0.000 0.000 1
Tc1 0.000 0.500 0.500 1
H1 0.500 0.500 0.500 1
```

E above lowest polymorph   0 meV per atom
Fermi-level density of states   6.1 states/eV/f.u.

Entry 4:
This record from Alexandria describes an optimized crystal structure of InTcH3. The functional is PBE-GGA.

The structure in CIF format:
```
data_InTcH3
_space_group_name_H-M_alt 'P m -3 m'
_space_group_IT_number 221
_space_group_name_Hall '-P 4 2 3'
_cell_length_a 3.850
_cell_length_b 3.850
_cell_length_c 3.850
_cell_angle_alpha 90.00
_cell_angle_beta 90.00
_cell_angle_gamma 90.00
loop_
_atom_site_label
_atom_site_fract_x
_atom_site_fract_y
_atom_site_fract_z
_atom_site_occupancy
In1 0.000 0.000 0.000 1
Tc1 0.500 0.500 0.500 1
H1 0.000 0.000 0.500 1
```

E above lowest polymorph   962 meV per atom
Fermi-level density of states   1.2 states/eV/f.u.

Entry 5:
This record from Alexandria describes an optimized crystal structure of In2TcH4. The functional is PBE-GGA.

The structure in CIF format:
```
data_In2TcH4
_space_group_name_H-M_alt 'I 4/m m m'
_space_group_IT_number 139
_space_group_name_Hall '-I 4 2'
_cell_length_a 3.496
_cell_length_b 3.496
_cell_length_c 13.561
_cell_angle_alpha 90.00
_cell_angle_beta 90.00
_cell_angle_gamma 90.00
loop_
_atom_site_label
_atom_site_fract_x
_atom_site_fract_y
_atom_site_fract_z
_atom_site_occupancy
In1 0.000 0.000 0.147 1
Tc1 0.000 0.000 0.500 1
H1 0.000 0.000 0.371 1
H2 0.000 0.500 0.000 1
```

E above lowest polymorph   170 meV per atom
Fermi-level density of states   3.4 states/eV/f.u.

Entry 6:
This record from Alexandria describes an optimized crystal structure of VInTcH2. The functional is PBE-GGA.

The structure in CIF format:
```
data_VInTcH2
_space_group_name_H-M_alt 'P 4/m m m'
_space_group_IT_number 123
_space_group_name_Hall '-P 4 2'
_cell_length_a 3.637
_cell_length_b 3.637
_cell_length_c 5.288
_cell_angle_alpha 90.00
_cell_angle_beta 90.00
_cell_angle_gamma 90.00
loop_
_atom_site_label
_atom_site_fract_x
_atom_site_fract_y
_atom_site_fract_z
_atom_site_occupancy
V1 0.000 0.000 0.000 1
In1 0.000 0.000 0.500 1
Tc1 0.500 0.500 0.500 1
H1 0.000 0.500 0.000 1
```

Fermi-level density of states   6.3 states/eV/f.u.
Total DFT energy (no corrections)   -4.77 eV per atom

Entry 7:
This record from Alexandria describes an optimized crystal structure of YIn2TcH. The functional is PBE-GGA.

The structure in CIF format:
```
data_YIn2TcH
_space_group_name_H-M_alt 'P 4/m m m'
_space_group_IT_number 123
_space_group_name_Hall '-P 4 2'
_cell_length_a 5.346
_cell_length_b 5.346
_cell_length_c 3.534
_cell_angle_alpha 90.00
_cell_angle_beta 90.00
_cell_angle_gamma 90.00
loop_
_atom_site_label
_atom_site_fract_x
_atom_site_fract_y
_atom_site_fract_z
_atom_site_occupancy
Y1 0.000 0.000 0.000 1
In1 0.000 0.500 0.500 1
Tc1 0.500 0.500 0.500 1
H1 0.500 0.500 0.000 1
```

Fermi-level density of states   3.9 states/eV/f.u.
Total DFT energy (no corrections)   -4.93 eV per atom

Entry 8:
This record from Alexandria describes an optimized crystal structure of InTeH. The functional is PBE-GGA.

The structure in CIF format:
```
data_InTeH
_space_group_name_H-M_alt 'P -1'
_space_group_IT_number 2
_space_group_name_Hall '-P 1'
_cell_length_a 4.405
_cell_length_b 5.609
_cell_length_c 6.925
_cell_angle_alpha 109.90
_cell_angle_beta 90.11
_cell_angle_gamma 90.00
loop_
_atom_site_label
_atom_site_fract_x
_atom_site_fract_y
_atom_site_fract_z
_atom_site_occupancy
In1 0.250 0.188 0.383 1
Te1 0.251 0.144 0.789 1
H1 0.249 0.493 0.367 1
```

Fermi-level density of states   0.0 states/eV/f.u.
Total DFT energy (no corrections)   -3.14 eV per atom

Entry 9:
This record from Alexandria describes an optimized crystal structure of InTeH. The functional is PBE-GGA.

The structure in CIF format:
```
data_InTeH
_space_group_name_H-M_alt 'C 1 2 1'
_space_group_IT_number 5
_space_group_name_Hall 'C 2y'
_cell_length_a 11.505
_cell_length_b 4.376
_cell_length_c 7.366
_cell_angle_alpha 90.00
_cell_angle_beta 91.31
_cell_angle_gamma 90.00
loop_
_atom_site_label
_atom_site_fract_x
_atom_site_fract_y
_atom_site_fract_z
_atom_site_occupancy
In1 0.120 0.000 0.044 1
Te1 0.217 0.500 0.254 1
H1 0.032 0.006 0.512 1
```

Total DFT energy (no corrections)   -3.28 eV per atom

Entry 10:
This record from Alexandria describes an optimized crystal structure of InTeH. The functional is PBE-GGA.

The structure in CIF format:
```
data_InTeH
_space_group_name_H-M_alt 'P 1'
_space_group_IT_number 1
_space_group_name_Hall 'P 1'
_cell_length_a 4.468
_cell_length_b 4.474
_cell_length_c 11.504
_cell_angle_alpha 100.09
_cell_angle_beta 90.05
_cell_angle_gamma 119.90
loop_
_atom_site_label
_atom_site_fract_x
_atom_site_fract_y
_atom_site_fract_z
_atom_site_occupancy
In1 0.000 0.000 0.000 1
In2 0.455 0.904 0.393 1
Te1 0.379 0.756 0.148 1
Te2 0.824 0.640 0.509 1
H1 0.196 0.381 0.773 1
H2 0.288 0.528 0.740 1
```

Total DFT energy (no corrections)   -3.23 eV per atom

Entry 11:
This record from Alexandria describes an optimized crystal structure of InTeH. The functional is PBE-GGA.

The structure in CIF format:
```
data_InTeH
_space_group_name_H-M_alt 'P 1'
_space_group_IT_number 1
_space_group_name_Hall 'P 1'
_cell_length_a 4.377
_cell_length_b 6.158
_cell_length_c 7.526
_cell_angle_alpha 78.16
_cell_angle_beta 89.97
_cell_angle_gamma 69.24
loop_
_atom_site_label
_atom_site_fract_x
_atom_site_fract_y
_atom_site_fract_z
_atom_site_occupancy
In1 0.000 0.000 0.000 1
In2 0.251 0.498 0.089 1
Te1 0.376 0.249 0.790 1
Te2 0.875 0.249 0.299 1
H1 0.585 0.817 0.541 1
H2 0.647 0.684 0.550 1
```

Total DFT energy (no corrections)   -3.28 eV per atom

Entry 12:
This record from Alexandria describes an optimized crystal structure of InTeH. The functional is PBE-GGA.

The structure in CIF format:
```
data_InTeH
_space_group_name_H-M_alt 'P 1 21/m 1'
_space_group_IT_number 11
_space_group_name_Hall '-P 2yb'
_cell_length_a 4.802
_cell_length_b 5.192
_cell_length_c 6.474
_cell_angle_alpha 90.00
_cell_angle_beta 108.25
_cell_angle_gamma 90.00
loop_
_atom_site_label
_atom_site_fract_x
_atom_site_fract_y
_atom_site_fract_z
_atom_site_occupancy
In1 0.026 0.250 0.313 1
Te1 0.363 0.750 0.221 1
H1 0.398 0.250 0.925 1
```

Total DFT energy (no corrections)   -3.00 eV per atom